# La2SmTh PBE-GGA relaxed
data_La2SmTh
_chemical_formula_sum 'La8 Sm4 Th4'
_symmetry_space_group_name_H-M 'F m -3 m'
_symmetry_Int_Tables_number 225
_symmetry_space_group_name_Hall '-F 4 2 3'
_cell_length_a 8.247
_cell_length_b 8.247
_cell_length_c 8.247
_cell_angle_alpha 90.00
_cell_angle_beta 90.00
_cell_angle_gamma 90.00
loop_
_atom_site_label
_atom_site_type_symbol
_atom_site_fract_x
_atom_site_fract_y
_atom_site_fract_z
_atom_site_occupancy
La1 La 0.250 0.250 0.250 1
Sm1 Sm 0.000 0.000 0.000 1
Th1 Th 0.000 0.000 0.500 1
# Crystal system: cubic
# Relative energy among the computed polymorphs: 0.179 eV/atom
# Total moment: 0.6 μB/f.u.

***

# La3Sm8Th PBE-GGA relaxed
data_La3Sm8Th
_chemical_formula_sum 'La6 Sm16 Th2'
_symmetry_space_group_name_H-M 'C 1 2 1'
_symmetry_Int_Tables_number 5
_cell_length_a 15.630
_cell_length_b 8.917
_cell_length_c 6.562
_cell_angle_alpha 90.00
_cell_angle_beta 114.15
_cell_angle_gamma 90.00
loop_
_symmetry_equiv_pos_as_xyz
'x,y,z'
'-x,y,-z'
'x+1/2,y+1/2,z'
'-x+1/2,y+1/2,-z'
loop_
_atom_site_label
_atom_site_type_symbol
_atom_site_fract_x
_atom_site_fract_y
_atom_site_fract_z
_atom_site_occupancy
La1 La 0.000 0.000 0.000 1
La2 La 0.129 0.049 0.629 1
Sm1 Sm 0.070 0.679 0.309 1
Sm2 Sm 0.125 0.333 0.109 1
Sm3 Sm 0.168 0.680 0.894 1
Sm4 Sm 0.248 0.419 0.660 1
Th1 Th 0.000 0.379 0.500 1
# Crystal system: monoclinic
# Total moment: 0.0 μB/f.u.
# Total DFT energy (no corrections): -117.024 eV per cell

***

# La3Sm6Th PBE-GGA relaxed
data_La3Sm6Th
_chemical_formula_sum 'La6 Sm12 Th2'
_symmetry_space_group_name_H-M 'P 1 21/m 1'
_symmetry_Int_Tables_number 11
_cell_length_a 13.517
_cell_length_b 3.584
_cell_length_c 15.178
_cell_angle_alpha 90.00
_cell_angle_beta 108.55
_cell_angle_gamma 90.00
loop_
_symmetry_equiv_pos_as_xyz
'x,y,z'
'-x,-y,-z'
'-x,y+1/2,-z'
'x,-y+1/2,z'
loop_
_atom_site_label
_atom_site_type_symbol
_atom_site_fract_x
_atom_site_fract_y
_atom_site_fract_z
_atom_site_occupancy
La1 La 0.015 0.250 0.393 1
La2 La 0.382 0.250 0.001 1
La3 La 0.468 0.250 0.596 1
Sm1 Sm 0.131 0.750 0.014 1
Sm2 Sm 0.161 0.250 0.809 1
Sm3 Sm 0.216 0.250 0.601 1
Sm4 Sm 0.264 0.750 0.401 1
Sm5 Sm 0.328 0.250 0.214 1
Sm6 Sm 0.395 0.750 0.789 1
Th1 Th 0.075 0.250 0.198 1
# Crystal system: monoclinic
# Total moment: 0.0 μB/f.u.
# Total DFT energy (no corrections): -99.360 eV per cell

***

# La12Sm3Th PBE-GGA relaxed
data_La12Sm3Th
_chemical_formula_sum 'La12 Sm3 Th1'
_symmetry_space_group_name_H-M 'P 4/m m m'
_symmetry_Int_Tables_number 123
_symmetry_space_group_name_Hall '-P 4 2'
_cell_length_a 5.225
_cell_length_b 5.225
_cell_length_c 20.933
_cell_angle_alpha 90.00
_cell_angle_beta 90.00
_cell_angle_gamma 90.00
loop_
_atom_site_label
_atom_site_type_symbol
_atom_site_fract_x
_atom_site_fract_y
_atom_site_fract_z
_atom_site_occupancy
La1 La 0.000 0.000 0.000 1
La2 La 0.000 0.000 0.248 1
La3 La 0.000 0.000 0.500 1
La4 La 0.000 0.500 0.125 1
La5 La 0.000 0.500 0.379 1
Sm1 Sm 0.500 0.500 0.000 1
Sm2 Sm 0.500 0.500 0.249 1
Th1 Th 0.500 0.500 0.500 1
# Crystal system: tetragonal
# Total moment: 0.0 μB/f.u.
# Total DFT energy (no corrections): -80.419 eV per cell

***

# LaSmTh PBE-GGA relaxed
data_LaSmTh
_chemical_formula_sum 'La1 Sm1 Th1'
_symmetry_space_group_name_H-M 'P 3 m 1'
_symmetry_Int_Tables_number 156
_cell_length_a 3.6283
_cell_length_b 3.6283
_cell_length_c 8.9718
_cell_angle_alpha 90.00
_cell_angle_beta 90.00
_cell_angle_gamma 120.00
loop_
_symmetry_equiv_pos_as_xyz
'x,y,z'
'-y,x-y,z'
'-x+y,-x,z'
'-y,-x,z'
'-x+y,y,z'
'x,x-y,z'
loop_
_atom_site_label
_atom_site_type_symbol
_atom_site_fract_x
_atom_site_fract_y
_atom_site_fract_z
_atom_site_occupancy
La1 La 0.0000 0.0000 0.0000 1
Sm1 Sm 0.6667 0.3333 0.3611 1
Th1 Th 0.3333 0.6667 0.6792 1
# Crystal system: trigonal
# Relative energy among the computed polymorphs: 0.002 eV/atom
# Total moment: 0.0 μB/f.u.

***

# LaSmTh14 PBE-GGA relaxed
data_LaSmTh14
_chemical_formula_sum 'La2 Sm2 Th28'
_symmetry_space_group_name_H-M 'A m m 2'
_symmetry_Int_Tables_number 38
_cell_length_a 11.643
_cell_length_b 7.186
_cell_length_c 12.467
_cell_angle_alpha 90.00
_cell_angle_beta 90.00
_cell_angle_gamma 90.00
loop_
_symmetry_equiv_pos_as_xyz
'x,y,z'
'-x,-y,z'
'-x,y,z'
'x,-y,z'
'x,y+1/2,z+1/2'
'-x,-y+1/2,z+1/2'
'-x,y+1/2,z+1/2'
'x,-y+1/2,z+1/2'
loop_
_atom_site_label
_atom_site_type_symbol
_atom_site_fract_x
_atom_site_fract_y
_atom_site_fract_z
_atom_site_occupancy
La1 La 0.000 0.000 0.000 1
Sm1 Sm 0.000 0.000 0.499 1
Th1 Th 0.000 0.248 0.247 1
Th2 Th 0.251 0.000 0.666 1
Th3 Th 0.252 0.000 0.166 1
Th4 Th 0.252 0.250 0.415 1
Th5 Th 0.500 0.000 0.332 1
Th6 Th 0.500 0.000 0.832 1
Th7 Th 0.500 0.250 0.082 1
# Crystal system: orthorhombic
# Total moment: 0.0 μB/f.u.
# Total DFT energy (no corrections): -225.776 eV per cell